No. 1
Computed, not measured: an optimized crystal structure of V4NO10 at the GGA+U level of DFT.

```
V4NO10
1.0
5.873 -1.835 0.000
5.873 1.835 0.000
-1.753 0.000 10.633
V N O
4 1 10
Cartesian
0.774 0.000 1.652 V
0.898 0.000 8.941 V
9.096 0.000 1.692 V
9.219 0.000 8.981 V
4.997 0.000 5.317 N
-0.808 0.000 9.620 O
0.608 0.000 3.241 O
0.732 0.000 7.355 O
2.807 0.000 1.279 O
2.886 0.000 9.301 O
7.107 0.000 1.332 O
7.186 0.000 9.354 O
9.261 0.000 3.278 O
9.385 0.000 7.393 O
10.801 0.000 1.013 O
```

Summary:
The total energy is -0.262 Ha/atom. The space group is C2/m.

---

No. 2
Computed, not measured: an optimized crystal structure of VN3O at the GGA+U level of DFT.

```
VN3O
1.0
3.518 0.000 0.000
0.000 3.518 0.000
0.000 0.000 3.518
V N O
1 3 1
Cartesian
0.000 0.000 0.000 V
0.000 1.759 1.759 N
1.759 0.000 1.759 N
1.759 1.759 0.000 N
1.759 1.759 1.759 O
```

Summary:
The total energy is -0.194 Ha/atom. The space group is Pm-3m.

---

No. 3
Computed, not measured: an optimized crystal structure of V5N4O at the GGA+U level of DFT.

```
V5N4O
1.0
-3.421 3.421 2.143
3.421 -3.421 2.143
3.421 3.421 -2.143
V N O
5 4 1
Cartesian
0.000 0.000 0.000 V
4.159 1.315 0.000 V
1.315 2.683 0.000 V
2.105 0.738 2.143 V
-0.738 2.105 2.143 V
2.028 0.703 0.000 N
2.717 -1.393 2.143 N
0.703 4.813 0.000 N
1.393 2.717 2.143 N
0.000 0.000 2.143 O
```

Summary:
The total energy is -0.299 Ha/atom. The space group is I4/m.